Entry from Alexandria via LeMat-Bulk: crystalline PmPr4Y3 at its relaxed geometry (PBE).

Summary:
ΔH_f (0 K) in meV/atom: 14
DOS(E_F) in states/eV per cell: 24.57
Excess energy over the best structure of this formula in the dataset in eV/atom: 0.000

a b c (Å): 10.3437 7.2960 7.2989
angles (deg): 90.00 90.00 90.00
Last column: nearest neighbours and their distance in Å.
Space group Pmna (No. 53)
Symmetry-distinct sites (fractional):
Pm 0.0000 0.0000 0.0000 x2  8 Pr 3.65, 4 Y 3.66
Pr 0.0000 0.0000 0.5000 x2  6 Y 3.65-3.66, 2 Pm 3.65, 4 Pr 3.65
Pr 0.0000 0.5000 0.0000 x2  6 Y 3.65, 2 Pm 3.65, 4 Pr 3.65
Pr 0.2500 0.2503 0.2500 x4  6 Y 3.64-3.66, 4 Pr 3.65, 2 Pm 3.65
Y 0.0000 0.5000 0.5000 x2  4 Y 3.65, 8 Pr 3.65
Y 0.2500 0.2515 0.7500 x4  8 Pr 3.64-3.66, 2 Y 3.65, 2 Pm 3.66

Entry from Alexandria via LeMat-Bulk: crystalline PmPr7Y3 at its relaxed geometry (PBE).

Summary:
ΔH_f (0 K) in meV/atom: 210
DOS(E_F) in states/eV per cell: 31.30
Excess energy over the best structure of this formula in the dataset in eV/atom: 0.000

a b c (Å): 12.9543 11.5385 5.9962
angles (deg): 90.00 117.55 90.00
Last column: nearest neighbours and their distance in Å.
Space group C2/m (No. 12)
Symmetry-distinct sites (fractional):
Pm 0.0000 0.0000 0.0000 x2  4 Pr 3.00-3.32
Pr 0.0000 0.0000 0.5000 x2  2 Pm 3.00
Pr 0.1955 0.2919 0.1953 x8  2 Y 3.29-3.65, 3 Pr 3.39-3.53
Pr 0.2111 0.5000 0.7101 x4  1 Pm 3.32, 2 Y 3.36, 2 Pr 3.53
Y 0.0000 0.2978 0.5000 x4  9 Pr 3.36-3.75
Y 0.0000 0.5000 0.0000 x2  4 Pr 3.29

Entry from Alexandria via LeMat-Bulk: crystalline Pm4Pr2Y7 at its relaxed geometry (PBE).

Summary:
ΔH_f (0 K) in meV/atom: 16
DOS(E_F) in states/eV per cell: 18.83

a b c (Å): 6.2605 8.0925 9.5652
angles (deg): 65.10 83.77 82.47
Last column: nearest neighbours and their distance in Å.
Space group P-1 (No. 2)
Symmetry-distinct sites (fractional):
Pm 0.0373 0.4221 0.3476 x2  3 Pm 3.60-3.62, 8 Y 3.60-3.63, 1 Pr 3.63
Pm 0.1935 0.1154 0.7296 x2  7 Y 3.60-3.64, 2 Pm 3.60-3.62, 3 Pr 3.61-3.63
Pr 0.3445 0.8072 0.1160 x2  4 Pm 3.61-3.63, 7 Y 3.62-3.63, 1 Pr 3.64
Y 0.1158 0.2712 0.0394 x2  5 Y 3.59-3.62, 4 Pm 3.60-3.64, 3 Pr 3.62-3.63
Y 0.2688 0.9619 0.4235 x2  5 Pm 3.60-3.62, 6 Y 3.60-3.62, 1 Pr 3.62
Y 0.4234 0.6545 0.8075 x2  7 Y 3.60-3.62, 3 Pm 3.61-3.62, 2 Pr 3.62
Y 0.5000 0.5000 0.5000 x1  6 Pm 3.60-3.62, 2 Pr 3.62, 4 Y 3.62

Entry from Alexandria via LeMat-Bulk: crystalline Pm12Pr2Y at its relaxed geometry (PBE).

Summary:
ΔH_f (0 K) in meV/atom: 307
DOS(E_F) in states/eV per cell: 41.01

a b c (Å): 6.5780 6.5780 25.5241
angles (deg): 90.00 90.00 90.00
Last column: nearest neighbours and their distance in Å.
Space group P4/nbm (No. 125, origin choice 2)
Symmetry-distinct sites (fractional):
Pm 0.0639 0.5639 0.1139 x8  1 Y 3.38, 7 Pm 3.39-3.52
Pm 0.0825 0.5825 0.5616 x8  5 Pm 3.12-3.46
Pm 0.2500 0.2500 0.2148 x4  5 Pm 3.15-3.52
Pm 0.2500 0.2500 0.3383 x4  1 Pm 3.15
Pr 0.2500 0.7500 0.2671 x4  8 Pm 3.55-3.76
Y 0.2500 0.7500 0.0000 x2  4 Pm 3.38

Question: Number 3 is which compound?
Answer: Pm4Pr2Y7